[1]
The following is a DFT calculation (meta-GGA SCAN) of Ge3SbTe at its PBEsol-relaxed geometry.

**Uncorrected energy**: -126.75 eV for the cell shown
**Magnetization**: 0.0 μB per cell
**ρ**: 5.14 g cm⁻³
**Raw formation energy**: 1005 meV/atom

Unit cell a=5.3241 b=5.3241 c=5.3241 alpha=90.00 beta=90.00 gamma=90.00
Closest atoms and distances in Å follow each position.
Element x y z (fractional)
Ge 0.0000 0.0000 0.5000  2 Te 2.66
Ge 0.0000 0.5000 0.0000  2 Te 2.66
Ge 0.5000 0.0000 0.0000  2 Te 2.66
Sb 0.5000 0.5000 0.5000  12 Ge 3.76
Te 0.0000 0.0000 0.0000  6 Ge 2.66

=====

[2]
The following is a DFT calculation (meta-GGA SCAN) of Ge2Sb2Te5 at its PBEsol-relaxed geometry.

**ΔE to the lowest computed polymorph**: 0 meV/atom
**Uncorrected energy**: -299.64 eV for the cell shown
**Magnetization**: 0.0 μB per cell
**ρ**: 6.56 g cm⁻³
**Raw formation energy**: -77 meV/atom

Unit cell a=4.2259 b=4.2259 c=16.8167 alpha=90.00 beta=90.00 gamma=120.00
Closest atoms and distances in Å follow each position.
Element x y z (fractional)
Ge 0.3333 0.6667 0.3995  6 Te 2.95-2.97
Ge 0.6667 0.3333 0.6005  6 Te 2.95-2.97
Sb 0.0000 0.0000 0.1823  6 Te 2.99-3.15
Sb 0.0000 0.0000 0.8177  6 Te 2.99-3.15
Te 0.0000 0.0000 0.5000  6 Ge 2.97
Te 0.3333 0.6667 0.0797  3 Sb 2.99
Te 0.3333 0.6667 0.6990  3 Ge 2.95, 3 Sb 3.15
Te 0.6667 0.3333 0.3010  3 Ge 2.95, 3 Sb 3.15
Te 0.6667 0.3333 0.9203  3 Sb 2.99

=====

[3]
The following is a DFT calculation (meta-GGA SCAN) of GeSb4Te7 at its PBEsol-relaxed geometry.

**Uncorrected energy**: -430.00 eV for the cell shown
**Magnetization**: 0.0 μB per cell
**ρ**: 6.59 g cm⁻³
**Raw formation energy**: -93 meV/atom

Unit cell a=4.2569 b=4.2569 c=23.3410 alpha=90.00 beta=90.00 gamma=120.00
Closest atoms and distances in Å follow each position.
Element x y z (fractional)
Ge 0.0000 0.0000 0.0000  6 Te 2.96
Sb 0.3333 0.6667 0.5841  6 Te 3.00-3.14
Sb 0.3333 0.6667 0.8444  6 Te 3.00-3.16
Sb 0.6667 0.3333 0.1556  6 Te 3.00-3.16
Sb 0.6667 0.3333 0.4159  6 Te 3.00-3.14
Te 0.0000 0.0000 0.2290  3 Sb 3.00
Te 0.0000 0.0000 0.5000  6 Sb 3.14
Te 0.0000 0.0000 0.7710  3 Sb 3.00
Te 0.3333 0.6667 0.0708  3 Ge 2.96, 3 Sb 3.16
Te 0.3333 0.6667 0.3424  3 Sb 3.00
Te 0.6667 0.3333 0.6576  3 Sb 3.00
Te 0.6667 0.3333 0.9292  3 Ge 2.96, 3 Sb 3.16

=====

[4]
The following is a DFT calculation (meta-GGA SCAN) of Ge2Sb2Te5 at its PBEsol-relaxed geometry.

**ΔE to the lowest computed polymorph**: 35 meV/atom
**Uncorrected energy**: -299.33 eV for the cell shown
**Magnetization**: 0.0 μB per cell
**ρ**: 6.35 g cm⁻³
**Raw formation energy**: -42 meV/atom

Unit cell a=7.3208 b=7.3208 c=9.4235 alpha=129.88 beta=129.88 gamma=48.38
Closest atoms and distances in Å follow each position.
Element x y z (fractional)
Ge 0.0000 0.0000 0.0000  5 Te 2.75-3.02
Ge 0.6022 0.6022 0.3812  5 Te 2.81-3.01
Sb 0.3976 0.3976 0.5613  6 Te 2.91-3.15
Sb 0.7699 0.7699 0.1517  6 Te 2.94-3.15
Te 0.0854 0.0854 0.3641  3 Ge 2.75-3.00
Te 0.2782 0.2782 0.1472  2 Ge 2.91-3.19, 3 Sb 3.00
Te 0.4777 0.4777 0.9630  2 Sb 2.94-3.13, 3 Ge 3.01
Te 0.6895 0.6895 0.7569  2 Ge 2.84-3.02, 2 Sb 2.91-3.06
Te 0.8821 0.8821 0.5641  1 Ge 2.81, 3 Sb 3.01-3.03

=====

[5]
The following is a DFT calculation (meta-GGA SCAN) of TlGe2SbTe at its PBEsol-relaxed geometry.

**Uncorrected energy**: -180.77 eV for the cell shown
**Magnetization**: 0.0 μB per cell
**ρ**: 6.08 g cm⁻³
**Raw formation energy**: 854 meV/atom

Unit cell a=5.2689 b=5.2689 c=5.8965 alpha=90.00 beta=90.00 gamma=90.00
Closest atoms and distances in Å follow each position.
Element x y z (fractional)
Tl 0.0000 0.0000 0.0000  2 Te 2.95
Ge 0.0000 0.5000 0.5000  2 Te 2.63
Ge 0.5000 0.0000 0.5000  2 Te 2.63
Sb 0.5000 0.5000 0.0000  4 Tl 3.73, 8 Ge 3.95
Te 0.0000 0.0000 0.5000  4 Ge 2.63, 2 Tl 2.95

=====

[6]
The following is a DFT calculation (meta-GGA SCAN) of TiGeSb at its PBEsol-relaxed geometry.

**Uncorrected energy**: -147.65 eV for the cell shown
**Magnetization**: 0.0 μB per cell
**ρ**: 7.32 g cm⁻³
**Raw formation energy**: -482 meV/atom

Unit cell a=3.6732 b=3.6732 c=8.1458 alpha=90.00 beta=90.00 gamma=90.00
Closest atoms and distances in Å follow each position.
Element x y z (fractional)
Ti 0.2500 0.2500 0.2475  4 Ge 2.73, 5 Sb 2.82-3.00
Ti 0.7500 0.7500 0.7525  4 Ge 2.73, 5 Sb 2.82-3.00
Ge 0.2500 0.7500 0.0000  4 Ge 2.60, 4 Ti 2.73
Ge 0.7500 0.2500 0.0000  4 Ge 2.60, 4 Ti 2.73
Sb 0.2500 0.2500 0.6162  5 Ti 2.82-3.00
Sb 0.7500 0.7500 0.3838  5 Ti 2.82-3.00

=====

[7]
The following is a DFT calculation (meta-GGA SCAN) of Tl2Ge2Sb at its PBEsol-relaxed geometry.

**Uncorrected energy**: -437.80 eV for the cell shown
**Magnetization**: 0.0 μB per cell
**ρ**: 8.84 g cm⁻³
**Raw formation energy**: 251 meV/atom

Unit cell a=3.6853 b=3.6853 c=18.6907 alpha=90.00 beta=90.00 gamma=90.00
Closest atoms and distances in Å follow each position.
Element x y z (fractional)
Tl 0.0000 0.0000 0.1086  4 Ge 3.22, 4 Sb 3.30
Tl 0.0000 0.0000 0.8914  4 Ge 3.22, 4 Sb 3.30
Tl 0.5000 0.5000 0.3914  4 Ge 3.22, 4 Sb 3.30
Tl 0.5000 0.5000 0.6086  4 Ge 3.22, 4 Sb 3.30
Ge 0.0000 0.5000 0.2500  4 Ge 2.61
Ge 0.0000 0.5000 0.7500  4 Ge 2.61
Ge 0.5000 0.0000 0.2500  4 Ge 2.61
Ge 0.5000 0.0000 0.7500  4 Ge 2.61
Sb 0.0000 0.0000 0.5000  8 Tl 3.30, 4 Sb 3.69
Sb 0.5000 0.5000 0.0000  8 Tl 3.30, 4 Sb 3.69

=====

[8]
The following is a DFT calculation (meta-GGA SCAN) of Tm5Ge2Sb2 at its PBEsol-relaxed geometry.

**Uncorrected energy**: -762.06 eV for the cell shown
**Magnetization**: 0.0 μB per cell
**ρ**: 9.36 g cm⁻³
**Raw formation energy**: -1020 meV/atom

Unit cell a=8.3113 b=8.3113 c=7.7155 alpha=90.00 beta=90.00 gamma=55.16
Closest atoms and distances in Å follow each position.
Element x y z (fractional)
Tm 0.0000 0.0000 0.0000  4 Ge 2.98-2.99, 2 Sb 3.02
Tm 0.0370 0.7094 0.6635  3 Ge 2.85-2.99, 3 Sb 3.05-3.11
Tm 0.2094 0.5370 0.1635  3 Ge 2.85-2.99, 3 Sb 3.05-3.11
Tm 0.2906 0.9630 0.6635  3 Ge 2.85-2.99, 3 Sb 3.05-3.11
Tm 0.4630 0.7906 0.1635  3 Ge 2.85-2.99, 3 Sb 3.05-3.11
Tm 0.5000 0.5000 0.5000  4 Ge 2.98-2.99, 2 Sb 3.02
Tm 0.5370 0.2094 0.8365  3 Ge 2.85-2.99, 3 Sb 3.05-3.11
Tm 0.7094 0.0370 0.3365  3 Ge 2.85-2.99, 3 Sb 3.05-3.11
Tm 0.7906 0.4630 0.8365  3 Ge 2.85-2.99, 3 Sb 3.05-3.11
Tm 0.9630 0.2906 0.3365  3 Ge 2.85-2.99, 3 Sb 3.05-3.11
Ge 0.1390 0.8610 0.3619  8 Tm 2.85-2.99, 1 Ge 3.02
Ge 0.3610 0.6390 0.8619  8 Tm 2.85-2.99, 1 Ge 3.02
Ge 0.6390 0.3610 0.1381  8 Tm 2.85-2.99, 1 Ge 3.02
Ge 0.8610 0.1390 0.6381  8 Tm 2.85-2.99, 1 Ge 3.02
Sb 0.2052 0.2052 0.0000  7 Tm 3.02-3.11
Sb 0.2948 0.2948 0.5000  7 Tm 3.02-3.11
Sb 0.7052 0.7052 0.5000  7 Tm 3.02-3.11
Sb 0.7948 0.7948 0.0000  7 Tm 3.02-3.11

=====

[9]
The following is a DFT calculation (meta-GGA SCAN) of Ge3SbW at its PBEsol-relaxed geometry.

**Uncorrected energy**: -153.83 eV for the cell shown
**Magnetization**: 4.1 μB per cell
**ρ**: 6.67 g cm⁻³
**Raw formation energy**: 2077 meV/atom

Unit cell a=5.0707 b=5.0707 c=5.0707 alpha=90.00 beta=90.00 gamma=90.00
Closest atoms and distances in Å follow each position.
Element x y z (fractional)
Ge 0.0000 0.0000 0.5000  2 Sb 2.54
Ge 0.0000 0.5000 0.0000  2 Sb 2.54
Ge 0.5000 0.0000 0.0000  2 Sb 2.54
Sb 0.0000 0.0000 0.0000  6 Ge 2.54
W 0.5000 0.5000 0.5000  12 Ge 3.59

=====

[10]
The following is a DFT calculation (meta-GGA SCAN) of Y2GeSb at its PBEsol-relaxed geometry.

**Uncorrected energy**: -459.76 eV for the cell shown
**Magnetization**: 0.0 μB per cell
**ρ**: 6.34 g cm⁻³
**Raw formation energy**: -726 meV/atom

Unit cell a=7.3075 b=7.3075 c=7.3075 alpha=90.00 beta=90.00 gamma=90.00
Closest atoms and distances in Å follow each position.
Element x y z (fractional)
Y 0.2500 0.2500 0.2500  4 Ge 3.16, 4 Sb 3.16
Y 0.2500 0.2500 0.7500  4 Ge 3.16, 4 Sb 3.16
Y 0.2500 0.7500 0.2500  4 Ge 3.16, 4 Sb 3.16
Y 0.2500 0.7500 0.7500  4 Ge 3.16, 4 Sb 3.16
Y 0.7500 0.2500 0.2500  4 Ge 3.16, 4 Sb 3.16
Y 0.7500 0.2500 0.7500  4 Ge 3.16, 4 Sb 3.16
Y 0.7500 0.7500 0.2500  4 Ge 3.16, 4 Sb 3.16
Y 0.7500 0.7500 0.7500  4 Ge 3.16, 4 Sb 3.16
Ge 0.0000 0.0000 0.0000  8 Y 3.16
Ge 0.0000 0.5000 0.5000  8 Y 3.16
Ge 0.5000 0.0000 0.5000  8 Y 3.16
Ge 0.5000 0.5000 0.0000  8 Y 3.16
Sb 0.0000 0.0000 0.5000  8 Y 3.16
Sb 0.0000 0.5000 0.0000  8 Y 3.16
Sb 0.5000 0.0000 0.0000  8 Y 3.16
Sb 0.5000 0.5000 0.5000  8 Y 3.16

=====

The highest ρ belongs to which entry?
Tm5Ge2Sb2

=====

What did the fifth record say?
The following is a DFT calculation (meta-GGA SCAN) of TlGe2SbTe at its PBEsol-relaxed geometry.

**Uncorrected energy**: -180.77 eV for the cell shown
**Magnetization**: 0.0 μB per cell
**ρ**: 6.08 g cm⁻³
**Raw formation energy**: 854 meV/atom

Unit cell a=5.2689 b=5.2689 c=5.8965 alpha=90.00 beta=90.00 gamma=90.00
Closest atoms and distances in Å follow each position.
Element x y z (fractional)
Tl 0.0000 0.0000 0.0000  2 Te 2.95
Ge 0.0000 0.5000 0.5000  2 Te 2.63
Ge 0.5000 0.0000 0.5000  2 Te 2.63
Sb 0.5000 0.5000 0.0000  4 Tl 3.73, 8 Ge 3.95
Te 0.0000 0.0000 0.5000  4 Ge 2.63, 2 Tl 2.95

=====

Number 4 is which compound?
Ge2Sb2Te5

=====

The highest magnetization belongs to which entry?
Ge3SbW